Entry 1:
DFT (PBE) results for an optimized crystal structure of LaErSn2.

total energy = -5.030 eV/atom
calculated volume = 114 Å³/cell

```
data_LaErSn2
_cell_length_a 4.0372
_cell_length_b 4.0372
_cell_length_c 6.9689
_cell_angle_alpha 90.00
_cell_angle_beta 90.00
_cell_angle_gamma 90.00
_symmetry_space_group_name_H-M 'P 4/m m m'
_symmetry_Int_Tables_number 123
_symmetry_space_group_name_Hall '-P 4 2'
loop_
_atom_site_label
_atom_site_type_symbol
_atom_site_fract_x
_atom_site_fract_y
_atom_site_fract_z
La1 La 0.0000 0.0000 0.0000
Er1 Er 0.0000 0.0000 0.5000
Sn1 Sn 0.5000 0.5000 0.2795
```

Entry 2:
DFT (PBE) results for an optimized crystal structure of Ca3Ge5O12.

total energy = -6.448 eV/atom
uncorrected formation energy = -40.37 eV/f.u.
calculated volume = 1995 Å³/cell

```
data_Ca3Ge5O12
_cell_length_a 12.5892
_cell_length_b 12.5892
_cell_length_c 12.5892
_cell_angle_alpha 90.00
_cell_angle_beta 90.00
_cell_angle_gamma 90.00
_symmetry_space_group_name_H-M 'I a -3 d'
_symmetry_Int_Tables_number 230
_symmetry_space_group_name_Hall '-I 4bd 2c 3'
loop_
_atom_site_label
_atom_site_type_symbol
_atom_site_fract_x
_atom_site_fract_y
_atom_site_fract_z
Ca1 Ca 0.0000 0.2500 0.1250
Ge1 Ge 0.0000 0.0000 0.0000
Ge2 Ge 0.0000 0.2500 0.3750
O1 O 0.0328 0.0525 0.6531
```

Which formula does entry 1 have?
LaErSn2

The highest calculated volume belongs to which entry?
Ca3Ge5O12

What is the total energy in the second record?
-6.448 eV/atom

What is the calculated volume in the second record?
1995 Å³/cell